1.
Al2ReSe: relaxed, GGA-PBEsol.

The structure in CIF format:
```
data_Al2ReSe
_cell_length_a 3.242
_cell_length_b 4.507
_cell_length_c 8.259
_cell_angle_alpha 90.00
_cell_angle_beta 90.00
_cell_angle_gamma 90.00
_space_group_name_H-M_alt 'I m m m'
_space_group_IT_number 71
_space_group_name_Hall '-I 2 2'
loop_
_atom_site_label
_atom_site_fract_x
_atom_site_fract_y
_atom_site_fract_z
Al1 0.000 0.000 0.249
Re1 0.000 0.500 0.000
Se1 0.000 0.500 0.500
```

Summary:
For the calculated total energy, the calculation gives -49.89 eV for the cell shown. Its density of states at the Fermi level is 5.00 states/eV/cell. As for the theoretical density: 8.782 Mg/m³. The formation energy from raw total energies is 105 meV per atom.



2.
SnSb: relaxed, GGA-PBEsol.

The structure in CIF format:
```
data_SnSb
_cell_length_a 6.085
_cell_length_b 6.085
_cell_length_c 6.085
_cell_angle_alpha 90.00
_cell_angle_beta 90.00
_cell_angle_gamma 90.00
_space_group_name_H-M_alt 'F m -3 m'
_space_group_IT_number 225
_space_group_name_Hall '-F 4 2 3'
loop_
_atom_site_label
_atom_site_fract_x
_atom_site_fract_y
_atom_site_fract_z
Sn1 0.000 0.000 0.000
Sb1 0.000 0.000 0.500
```

Summary:
For the calculated total energy, the calculation gives -35.47 eV for the cell shown. Its density of states at the Fermi level is 3.99 states/eV/cell. As for the theoretical density: 7.090 Mg/m³. The formation energy from raw total energies is -25 meV per atom.



3.
Rb3HoO3: relaxed, GGA-PBEsol.

The structure in CIF format:
```
data_Rb3HoO3
_cell_length_a 11.274
_cell_length_b 7.208
_cell_length_c 7.923
_cell_angle_alpha 90.00
_cell_angle_beta 97.04
_cell_angle_gamma 90.00
_space_group_name_H-M_alt 'P 1 21/c 1'
_space_group_IT_number 14
loop_
_space_group_symop_operation_xyz
'x,y,z'
'-x,-y,-z'
'-x,y+1/2,-z+1/2'
'x,-y+1/2,z+1/2'
loop_
_atom_site_label
_atom_site_fract_x
_atom_site_fract_y
_atom_site_fract_z
Rb1 0.081 0.003 0.179
Rb2 0.157 0.577 0.106
Rb3 0.412 0.653 0.777
Ho1 0.280 0.163 0.948
O1 0.102 0.249 0.425
O2 0.265 0.626 0.454
O3 0.347 0.244 0.211
```

Summary:
For the energy above the most stable polymorph in this dataset, the calculation gives 0.0104 eV per atom. For the calculated total energy, the calculation gives -149.06 eV for the cell shown. Its density of states at the Fermi level is 0.00 states/eV/cell. As for the theoretical density: 4.878 Mg/m³. The formation energy from raw total energies is -1927 meV per atom.



4.
Cu3GeF: relaxed, GGA-PBEsol.

The structure in CIF format:
```
data_Cu3GeF
_cell_length_a 4.070
_cell_length_b 4.070
_cell_length_c 4.070
_cell_angle_alpha 90.00
_cell_angle_beta 90.00
_cell_angle_gamma 90.00
_space_group_name_H-M_alt 'P m -3 m'
_space_group_IT_number 221
_space_group_name_Hall '-P 4 2 3'
loop_
_atom_site_label
_atom_site_fract_x
_atom_site_fract_y
_atom_site_fract_z
Cu1 0.000 0.000 0.500
Ge1 0.500 0.500 0.500
F1 0.000 0.000 0.000
```

Summary:
For the calculated total energy, the calculation gives -19.05 eV for the cell shown. Its density of states at the Fermi level is 2.16 states/eV/cell. As for the theoretical density: 6.952 Mg/m³. The formation energy from raw total energies is 164 meV per atom.



5.
Ho5SbPt2: relaxed, GGA-PBEsol.

The structure in CIF format:
```
data_Ho5SbPt2
_cell_length_a 7.626
_cell_length_b 7.626
_cell_length_c 13.302
_cell_angle_alpha 90.00
_cell_angle_beta 90.00
_cell_angle_gamma 90.00
_space_group_name_H-M_alt 'I 4/m c m'
_space_group_IT_number 140
_space_group_name_Hall '-I 4 2c'
loop_
_atom_site_label
_atom_site_fract_x
_atom_site_fract_y
_atom_site_fract_z
Ho1 0.000 0.000 0.000
Ho2 0.158 0.342 0.139
Sb1 0.000 0.000 0.250
Pt1 0.137 0.363 0.500
```

Summary:
For the calculated total energy, the calculation gives -205.01 eV for the cell shown. Its density of states at the Fermi level is 26.02 states/eV/cell. As for the theoretical density: 11.476 Mg/m³. The formation energy from raw total energies is -1002 meV per atom.



6.
HfBeGe2S: relaxed, GGA-PBEsol.

The structure in CIF format:
```
data_HfBeGe2S
_cell_length_a 4.955
_cell_length_b 4.955
_cell_length_c 3.670
_cell_angle_alpha 90.00
_cell_angle_beta 90.00
_cell_angle_gamma 90.00
_space_group_name_H-M_alt 'P 4/m m m'
_space_group_IT_number 123
_space_group_name_Hall '-P 4 2'
loop_
_atom_site_label
_atom_site_fract_x
_atom_site_fract_y
_atom_site_fract_z
Hf1 0.000 0.000 0.000
Be1 0.500 0.500 0.000
Ge1 0.000 0.500 0.500
S1 0.500 0.500 0.500
```

Summary:
For the calculated total energy, the calculation gives -26.89 eV for the cell shown. Its density of states at the Fermi level is 3.06 states/eV/cell. As for the theoretical density: 6.723 Mg/m³. The formation energy from raw total energies is 375 meV per atom.



7.
Mg2CrNi: relaxed, GGA-PBEsol.

The structure in CIF format:
```
data_Mg2CrNi
_cell_length_a 2.7329
_cell_length_b 2.7329
_cell_length_c 26.3835
_cell_angle_alpha 90.00
_cell_angle_beta 90.00
_cell_angle_gamma 120.00
_space_group_name_H-M_alt 'R -3 m'
_space_group_IT_number 166
_space_group_name_Hall '-R 3 2"'
loop_
_atom_site_label
_atom_site_fract_x
_atom_site_fract_y
_atom_site_fract_z
Mg1 0.0000 0.0000 0.2458
Cr1 0.0000 0.0000 0.0000
Ni1 0.0000 0.0000 0.5000
```

Summary:
For the energy above the most stable polymorph in this dataset, the calculation gives 0.1705 eV per atom. For the calculated total energy, the calculation gives -54.10 eV for the cell shown. Its density of states at the Fermi level is 15.61 states/eV/cell. The value obtained for the energy relative to the elements is 0.450 eV per atom. As for the theoretical density: 4.650 Mg/m³.



8.
HfSi2Bi: relaxed, GGA-PBEsol.

The structure in CIF format:
```
data_HfSi2Bi
_cell_length_a 6.127
_cell_length_b 6.127
_cell_length_c 12.528
_cell_angle_alpha 90.00
_cell_angle_beta 90.00
_cell_angle_gamma 90.00
_space_group_name_H-M_alt 'I -4 2 d'
_space_group_IT_number 122
_space_group_name_Hall 'I -4 2bw'
loop_
_atom_site_label
_atom_site_fract_x
_atom_site_fract_y
_atom_site_fract_z
Hf1 0.000 0.000 0.000
Si1 0.231 0.250 0.125
Bi1 0.000 0.000 0.500
```

Summary:
For the calculated total energy, the calculation gives -95.74 eV for the cell shown. Its density of states at the Fermi level is 11.46 states/eV/cell. As for the theoretical density: 6.266 Mg/m³. The formation energy from raw total energies is 587 meV per atom.